Record 1
# HfGe2Pd8 (GGA-PBE, relaxed)
# E_form: -0.54 eV per atom
data_HfGe2Pd8
_space_group_name_H-M_alt 'C 1 2/m 1'
_space_group_IT_number 12
_cell_length_a 7.5427
_cell_length_b 11.2488
_cell_length_c 4.4074
_cell_angle_alpha 90.00
_cell_angle_beta 105.78
_cell_angle_gamma 90.00
loop_
_space_group_symop_operation_xyz
'x,y,z'
'-x,-y,-z'
'-x,y,-z'
'x,-y,z'
'x+1/2,y+1/2,z'
'-x+1/2,-y+1/2,-z'
'-x+1/2,y+1/2,-z'
'x+1/2,-y+1/2,z'
loop_
_atom_site_label
_atom_site_type_symbol
_atom_site_fract_x
_atom_site_fract_y
_atom_site_fract_z
Hf1 Hf 0.0000 0.0000 0.0000
Ge1 Ge 0.0000 0.3242 0.5000
Pd1 Pd 0.0000 0.2378 0.0000
Pd2 Pd 0.1251 0.5000 0.8268
Pd3 Pd 0.1912 0.1244 0.5901

---

Record 2
# SnHOs2 (GGA-PBE, relaxed)
# Distance to the lowest polymorph of the same formula: 8.2 kJ per mole of atoms
data_SnHOs2
_space_group_name_H-M_alt 'P 1'
_space_group_IT_number 1
_cell_length_a 4.7483
_cell_length_b 5.4158
_cell_length_c 5.4877
_cell_angle_alpha 60.66
_cell_angle_beta 88.89
_cell_angle_gamma 80.24
loop_
_space_group_symop_operation_xyz
'x,y,z'
loop_
_atom_site_label
_atom_site_type_symbol
_atom_site_fract_x
_atom_site_fract_y
_atom_site_fract_z
Sn1 Sn 0.0000 0.0000 0.0000
Sn2 Sn 0.4290 0.6323 0.6778
H1 H 0.8869 0.5264 0.4319
H2 H 0.9671 0.8268 0.5510
Os1 Os 0.4571 0.1791 0.1962
Os2 Os 0.4765 0.1034 0.7154
Os3 Os 0.6034 0.6398 0.2028
Os4 Os 0.9845 0.1712 0.4050

---

Record 3
# KSrPdPb2 (GGA-PBE, relaxed)
# E_form: -0.22 eV per atom
data_KSrPdPb2
_space_group_name_H-M_alt 'P 4/m m m'
_space_group_IT_number 123
_space_group_name_Hall '-P 4 2'
_cell_length_a 5.5721
_cell_length_b 5.5721
_cell_length_c 5.6429
_cell_angle_alpha 90.00
_cell_angle_beta 90.00
_cell_angle_gamma 90.00
loop_
_atom_site_label
_atom_site_type_symbol
_atom_site_fract_x
_atom_site_fract_y
_atom_site_fract_z
K1 K 0.0000 0.0000 0.0000
Sr1 Sr 0.5000 0.5000 0.0000
Pd1 Pd 0.5000 0.5000 0.5000
Pb1 Pb 0.0000 0.5000 0.5000

---

Record 4
# BeP2Os (GGA-PBE, relaxed)
# E_form: 0.29 eV per atom
data_BeP2Os
_space_group_name_H-M_alt 'P 4/m m m'
_space_group_IT_number 123
_space_group_name_Hall '-P 4 2'
_cell_length_a 2.8512
_cell_length_b 2.8512
_cell_length_c 6.2342
_cell_angle_alpha 90.00
_cell_angle_beta 90.00
_cell_angle_gamma 90.00
loop_
_atom_site_label
_atom_site_type_symbol
_atom_site_fract_x
_atom_site_fract_y
_atom_site_fract_z
Be1 Be 0.0000 0.0000 0.0000
P1 P 0.5000 0.5000 0.2502
Os1 Os 0.0000 0.0000 0.5000

---

Record 5
# Pr4Ag5Rh2 (GGA-PBE, relaxed)
# E_form: -0.38 eV per atom
data_Pr4Ag5Rh2
_space_group_name_H-M_alt 'P 1 2/m 1'
_space_group_IT_number 10
_cell_length_a 7.5367
_cell_length_b 3.8829
_cell_length_c 9.1826
_cell_angle_alpha 90.00
_cell_angle_beta 94.41
_cell_angle_gamma 90.00
loop_
_space_group_symop_operation_xyz
'x,y,z'
'-x,-y,-z'
'-x,y,-z'
'x,-y,z'
loop_
_atom_site_label
_atom_site_type_symbol
_atom_site_fract_x
_atom_site_fract_y
_atom_site_fract_z
Pr1 Pr 0.1900 0.0000 0.3572
Pr2 Pr 0.2294 0.0000 0.9338
Ag1 Ag 0.1813 0.5000 0.6436
Ag2 Ag 0.4578 0.5000 0.1780
Ag3 Ag 0.5000 0.5000 0.5000
Rh1 Rh 0.0727 0.5000 0.1466

---

Record 6
# Al2AgAu (GGA-PBE, relaxed)
# E_form: -0.13 eV per atom
data_Al2AgAu
_space_group_name_H-M_alt 'I -4 m 2'
_space_group_IT_number 119
_space_group_name_Hall 'I -4 -2'
_cell_length_a 4.0146
_cell_length_b 4.0146
_cell_length_c 8.3808
_cell_angle_alpha 90.00
_cell_angle_beta 90.00
_cell_angle_gamma 90.00
loop_
_atom_site_label
_atom_site_type_symbol
_atom_site_fract_x
_atom_site_fract_y
_atom_site_fract_z
Al1 Al 0.0000 0.0000 0.0000
Al2 Al 0.0000 0.5000 0.2500
Ag1 Ag 0.0000 0.0000 0.5000
Au1 Au 0.0000 0.5000 0.7500

---

Record 7
# KSiBF2 (GGA-PBE, relaxed)
# E_form (uncorrected): -0.6089 eV per atom
data_KSiBF2
_space_group_name_H-M_alt 'P 4/m m m'
_space_group_IT_number 123
_space_group_name_Hall '-P 4 2'
_cell_length_a 4.8142
_cell_length_b 4.8142
_cell_length_c 3.6704
_cell_angle_alpha 90.00
_cell_angle_beta 90.00
_cell_angle_gamma 90.00
loop_
_atom_site_label
_atom_site_type_symbol
_atom_site_fract_x
_atom_site_fract_y
_atom_site_fract_z
K1 K 0.0000 0.0000 0.0000
Si1 Si 0.5000 0.5000 0.0000
B1 B 0.5000 0.5000 0.5000
F1 F 0.0000 0.5000 0.5000

---

Record 8
# LiSc5Tl6 (GGA-PBE, relaxed)
# E_form: -0.26 eV per atom
data_LiSc5Tl6
_space_group_name_H-M_alt 'I m m m'
_space_group_IT_number 71
_space_group_name_Hall '-I 2 2'
_cell_length_a 5.0370
_cell_length_b 7.2316
_cell_length_c 15.2012
_cell_angle_alpha 90.00
_cell_angle_beta 90.00
_cell_angle_gamma 90.00
loop_
_atom_site_label
_atom_site_type_symbol
_atom_site_fract_x
_atom_site_fract_y
_atom_site_fract_z
Li1 Li 0.0000 0.0000 0.0000
Sc1 Sc 0.0000 0.0000 0.3350
Sc2 Sc 0.0000 0.5000 0.0000
Sc3 Sc 0.0000 0.5000 0.3341
Tl1 Tl 0.0000 0.2460 0.1639
Tl2 Tl 0.0000 0.2597 0.5000

---

Record 9
# ZrAlAg (GGA-PBE, relaxed)
# E_form: -0.27 eV per atom
data_ZrAlAg
_space_group_name_H-M_alt 'I 4 m m'
_space_group_IT_number 107
_space_group_name_Hall 'I 4 -2'
_cell_length_a 3.0871
_cell_length_b 3.0871
_cell_length_c 11.6724
_cell_angle_alpha 90.00
_cell_angle_beta 90.00
_cell_angle_gamma 90.00
loop_
_atom_site_label
_atom_site_type_symbol
_atom_site_fract_x
_atom_site_fract_y
_atom_site_fract_z
Zr1 Zr 0.0000 0.0000 0.0000
Al1 Al 0.0000 0.0000 0.3341
Ag1 Ag 0.0000 0.0000 0.6894

---

Record 10
# BaBrCl2 (GGA-PBE, relaxed)
# E_form (uncorrected): -1.5863 eV per atom
# Distance to the lowest polymorph of the same formula: 11.3 kJ per mole of atoms
data_BaBrCl2
_space_group_name_H-M_alt 'I m m 2'
_space_group_IT_number 44
_cell_length_a 4.4266
_cell_length_b 4.5306
_cell_length_c 12.4222
_cell_angle_alpha 90.00
_cell_angle_beta 90.00
_cell_angle_gamma 90.00
loop_
_space_group_symop_operation_xyz
'x,y,z'
'-x,-y,z'
'-x,y,z'
'x,-y,z'
'x+1/2,y+1/2,z+1/2'
'-x+1/2,-y+1/2,z+1/2'
'-x+1/2,y+1/2,z+1/2'
'x+1/2,-y+1/2,z+1/2'
loop_
_atom_site_label
_atom_site_type_symbol
_atom_site_fract_x
_atom_site_fract_y
_atom_site_fract_z
Ba1 Ba 0.0000 0.0000 0.0000
Br1 Br 0.0000 0.5000 0.8028
Cl1 Cl 0.0000 0.0000 0.5549
Cl2 Cl 0.0000 0.5000 0.3144

---

Record 11
# HfScFePd (GGA-PBE, relaxed)
# E_form: -0.45 eV per atom
data_HfScFePd
_space_group_name_H-M_alt 'F -4 3 m'
_space_group_IT_number 216
_space_group_name_Hall 'F -4 2 3'
_cell_length_a 6.4478
_cell_length_b 6.4478
_cell_length_c 6.4478
_cell_angle_alpha 90.00
_cell_angle_beta 90.00
_cell_angle_gamma 90.00
loop_
_atom_site_label
_atom_site_type_symbol
_atom_site_fract_x
_atom_site_fract_y
_atom_site_fract_z
Hf1 Hf 0.0000 0.0000 0.0000
Sc1 Sc 0.0000 0.0000 0.5000
Fe1 Fe 0.2500 0.2500 0.2500
Pd1 Pd 0.2500 0.2500 0.7500

---

Record 12
# Ta4Al (GGA-PBE, relaxed)
# E_form: 0.76 eV per atom
# Distance to the lowest polymorph of the same formula: 77.4 kJ per mole of atoms
data_Ta4Al
_space_group_name_H-M_alt 'I 4/m m m'
_space_group_IT_number 139
_space_group_name_Hall '-I 4 2'
_cell_length_a 3.8132
_cell_length_b 3.8132
_cell_length_c 13.7278
_cell_angle_alpha 90.00
_cell_angle_beta 90.00
_cell_angle_gamma 90.00
loop_
_atom_site_label
_atom_site_type_symbol
_atom_site_fract_x
_atom_site_fract_y
_atom_site_fract_z
Ta1 Ta 0.0000 0.0000 0.0929
Ta2 Ta 0.0000 0.5000 0.2500
Al1 Al 0.0000 0.0000 0.5000

---

Record 13
# SrPtSeBr2 (GGA-PBE, relaxed)
# E_form (uncorrected): -0.8275 eV per atom
# Distance to the lowest polymorph of the same formula: 0.0 kJ per mole of atoms
data_SrPtSeBr2
_space_group_name_H-M_alt 'P 4/m m m'
_space_group_IT_number 123
_space_group_name_Hall '-P 4 2'
_cell_length_a 5.1516
_cell_length_b 5.1516
_cell_length_c 5.1935
_cell_angle_alpha 90.00
_cell_angle_beta 90.00
_cell_angle_gamma 90.00
loop_
_atom_site_label
_atom_site_type_symbol
_atom_site_fract_x
_atom_site_fract_y
_atom_site_fract_z
Sr1 Sr 0.0000 0.0000 0.0000
Pt1 Pt 0.5000 0.5000 0.5000
Se1 Se 0.5000 0.5000 0.0000
Br1 Br 0.0000 0.5000 0.5000

---

Record 14
# MnGa3Ni12 (GGA-PBE, relaxed)
# E_form: -0.24 eV per atom
data_MnGa3Ni12
_space_group_name_H-M_alt 'P 4/m m m'
_space_group_IT_number 123
_space_group_name_Hall '-P 4 2'
_cell_length_a 3.5841
_cell_length_b 3.5841
_cell_length_c 14.1551
_cell_angle_alpha 90.00
_cell_angle_beta 90.00
_cell_angle_gamma 90.00
loop_
_atom_site_label
_atom_site_type_symbol
_atom_site_fract_x
_atom_site_fract_y
_atom_site_fract_z
Mn1 Mn 0.0000 0.0000 0.0000
Ga1 Ga 0.0000 0.0000 0.2497
Ga2 Ga 0.0000 0.0000 0.5000
Ni1 Ni 0.0000 0.5000 0.1232
Ni2 Ni 0.0000 0.5000 0.3739
Ni3 Ni 0.5000 0.5000 0.0000
Ni4 Ni 0.5000 0.5000 0.2481
Ni5 Ni 0.5000 0.5000 0.5000

---

Record 15
# Rb3BaU2O9 (GGA-PBE, relaxed)
# E_form (uncorrected): -2.5912 eV per atom
data_Rb3BaU2O9
_space_group_name_H-M_alt 'P -3 m 1'
_space_group_IT_number 164
_space_group_name_Hall '-P 3 2"'
_cell_length_a 6.3878
_cell_length_b 6.3878
_cell_length_c 7.9749
_cell_angle_alpha 90.00
_cell_angle_beta 90.00
_cell_angle_gamma 120.00
loop_
_atom_site_label
_atom_site_type_symbol
_atom_site_fract_x
_atom_site_fract_y
_atom_site_fract_z
Rb1 Rb 0.0000 0.0000 0.0000
Rb2 Rb 0.3333 0.6667 0.6703
Ba1 Ba 0.0000 0.0000 0.5000
U1 U 0.3333 0.6667 0.1510
O1 O 0.0000 0.5000 0.0000
O2 O 0.1855 0.3710 0.2955

---

Record 16
# Y2AgBr8 (GGA-PBE, relaxed)
# E_form (uncorrected): -1.2489 eV per atom
data_Y2AgBr8
_space_group_name_H-M_alt 'C 1 2/m 1'
_space_group_IT_number 12
_cell_length_a 13.8396
_cell_length_b 8.7358
_cell_length_c 7.9469
_cell_angle_alpha 90.00
_cell_angle_beta 92.87
_cell_angle_gamma 90.00
loop_
_space_group_symop_operation_xyz
'x,y,z'
'-x,-y,-z'
'-x,y,-z'
'x,-y,z'
'x+1/2,y+1/2,z'
'-x+1/2,-y+1/2,-z'
'-x+1/2,y+1/2,-z'
'x+1/2,-y+1/2,z'
loop_
_atom_site_label
_atom_site_type_symbol
_atom_site_fract_x
_atom_site_fract_y
_atom_site_fract_z
Y1 Y 0.2052 0.0000 0.3240
Ag1 Ag 0.0000 0.0000 0.0000
Br1 Br 0.1050 0.2213 0.1449
Br2 Br 0.1105 0.5000 0.7178
Br3 Br 0.1770 0.0000 0.6512

---

Record 17
# Pr7Tl2Pt2 (GGA-PBE, relaxed)
# E_form: -0.46 eV per atom
data_Pr7Tl2Pt2
_space_group_name_H-M_alt 'C m m m'
_space_group_IT_number 65
_space_group_name_Hall '-C 2 2'
_cell_length_a 8.5480
_cell_length_b 11.5507
_cell_length_c 7.3589
_cell_angle_alpha 90.00
_cell_angle_beta 90.00
_cell_angle_gamma 90.00
loop_
_atom_site_label
_atom_site_type_symbol
_atom_site_fract_x
_atom_site_fract_y
_atom_site_fract_z
Pr1 Pr 0.0000 0.0000 0.0000
Pr2 Pr 0.0000 0.5000 0.2462
Pr3 Pr 0.2500 0.2500 0.2539
Tl1 Tl 0.1737 0.0000 0.5000
Pt1 Pt 0.0000 0.2891 0.0000

---

Record 18
# Y6AlIn (GGA-PBE, relaxed)
# E_form: -0.23 eV per atom
data_Y6AlIn
_space_group_name_H-M_alt 'P 4/m m m'
_space_group_IT_number 123
_space_group_name_Hall '-P 4 2'
_cell_length_a 4.8224
_cell_length_b 4.8224
_cell_length_c 9.6422
_cell_angle_alpha 90.00
_cell_angle_beta 90.00
_cell_angle_gamma 90.00
loop_
_atom_site_label
_atom_site_type_symbol
_atom_site_fract_x
_atom_site_fract_y
_atom_site_fract_z
Y1 Y 0.0000 0.0000 0.0000
Y2 Y 0.0000 0.0000 0.5000
Y3 Y 0.0000 0.5000 0.2434
Al1 Al 0.5000 0.5000 0.0000
In1 In 0.5000 0.5000 0.5000

---

Record 19
# KBaZn2 (GGA-PBE, relaxed)
# E_form: 0.07 eV per atom
# Distance to the lowest polymorph of the same formula: 10.0 kJ per mole of atoms
data_KBaZn2
_space_group_name_H-M_alt 'P 4 m m'
_space_group_IT_number 99
_cell_length_a 3.9092
_cell_length_b 3.9092
_cell_length_c 9.4835
_cell_angle_alpha 90.00
_cell_angle_beta 90.00
_cell_angle_gamma 90.00
loop_
_space_group_symop_operation_xyz
'x,y,z'
'-y,x,z'
'-x,-y,z'
'y,-x,z'
'-x,y,z'
'y,x,z'
'x,-y,z'
'-y,-x,z'
loop_
_atom_site_label
_atom_site_type_symbol
_atom_site_fract_x
_atom_site_fract_y
_atom_site_fract_z
K1 K 0.0000 0.0000 0.0000
Ba1 Ba 0.5000 0.5000 0.5863
Zn1 Zn 0.0000 0.0000 0.3623
Zn2 Zn 0.5000 0.5000 0.2486

---

Record 20
# RuRh2Cl (GGA-PBE, relaxed)
# E_form (uncorrected): 0.5269 eV per atom
# Distance to the lowest polymorph of the same formula: 22.4 kJ per mole of atoms
data_RuRh2Cl
_space_group_name_H-M_alt 'C m m 2'
_space_group_IT_number 35
_cell_length_a 2.7522
_cell_length_b 4.9314
_cell_length_c 8.8267
_cell_angle_alpha 90.00
_cell_angle_beta 90.00
_cell_angle_gamma 90.00
loop_
_space_group_symop_operation_xyz
'x,y,z'
'-x,-y,z'
'-x,y,z'
'x,-y,z'
'x+1/2,y+1/2,z'
'-x+1/2,-y+1/2,z'
'-x+1/2,y+1/2,z'
'x+1/2,-y+1/2,z'
loop_
_atom_site_label
_atom_site_type_symbol
_atom_site_fract_x
_atom_site_fract_y
_atom_site_fract_z
Ru1 Ru 0.0000 0.0000 0.0000
Rh1 Rh 0.0000 0.0000 0.4851
Rh2 Rh 0.0000 0.5000 0.7447
Cl1 Cl 0.0000 0.5000 0.2328

---

Sequential D(E_F) output: 3.66, 1.47, 2.77, 1.53, 4.78, 1.70, 2.85, 9.83, 1.60, 3.26, 2.56, 5.59, 2.04, 14.89, 15.27, 1.77, 11.86, 12.10, 3.26, 6.67 states/eV/f.u.
Sequential V output: 359.8, 120.9, 175.2, 50.7, 267.9, 135.1, 85.1, 553.7, 111.2, 249.1, 268.1, 199.6, 137.8, 181.8, 281.8, 959.6, 726.6, 224.2, 144.9, 119.8 Å³ per cell